This record from Alexandria describes an optimized crystal structure of ZnC3N. The functional is PBE.

total magnetic moment = 0.00 μB/cell
formation energy without anion corrections = 3.207 eV per atom
ΔE to the lowest computed polymorph = 0.000 eV per atom
VASP energy = -21.24 eV for the cell shown
space group = Pm-3m
mass density = 4.4 g cm⁻³

```
ZnC3N
1.0
3.522 0.000 0.000
0.000 3.522 0.000
0.000 0.000 3.522
Zn C N
1 3 1
Direct
0.000 0.000 0.000 Zn
0.000 0.500 0.500 C
0.500 0.000 0.500 C
0.500 0.500 0.000 C
0.500 0.500 0.500 N
```